Li2TePb PBE optimized geometry; energy relative to the elements, uncorrected = -0.269 eV/atom; E above lowest polymorph = 1.01 eV per formula unit; uncorrected energy = -11.8 eV for the cell shown
1.0
3.417 0.005 0.000
-0.004 3.417 0.000
0.000 0.000 8.544
Pb Li Te
1 2 1
Direct
0.000 0.000 0.425 Pb
0.500 0.500 0.200 Li
0.000 0.000 0.020 Li
0.500 0.500 0.854 Te

=====

CeTaOs4 PBE optimized geometry; formation energy = 24 meV/atom; uncorrected energy = -62.6 eV for the cell shown
1.0
-3.980 -1.285 -3.236
-4.707 -1.342 2.001
-4.128 3.260 -0.537
Ta Os Ce
1 4 1
Direct
0.000 0.000 0.000 Ta
0.625 0.625 0.625 Os
0.125 0.625 0.625 Os
0.625 0.625 0.125 Os
0.625 0.125 0.625 Os
0.250 0.250 0.250 Ce

=====

Ca2BP4 PBE optimized geometry; formation energy = -70 meV/atom; uncorrected energy = -32.8 eV for the cell shown
1.0
-2.664 -3.577 -0.550
3.385 -2.704 1.195
-1.556 -2.701 6.748
P Ca B
4 2 1
Direct
0.858 0.858 0.284 P
0.142 0.142 0.716 P
0.000 0.500 0.000 P
0.500 0.000 0.000 P
0.645 0.645 0.711 Ca
0.355 0.355 0.289 Ca
0.000 0.000 0.000 B